Record 1
ScCuSe2 after structural relaxation, computed with PBE-GGA.

## Properties
Raw total energy: -5.253 eV per atom

a = 7.055 Å, b = 7.055 Å, c = 7.055 Å
α = 31.55°, β = 31.55°, γ = 31.55°
Element x y z (fractional)
Se  0.018  0.018  0.018
Se  0.853  0.853  0.853
Sc  0.264  0.264  0.264
Cu  0.735  0.735  0.735

=====

Record 2
ScCuSnSe3 after structural relaxation, computed with PBE-GGA.

## Properties
Raw total energy: -4.908 eV per atom

a = 9.007 Å, b = 9.007 Å, c = 8.087 Å
α = 102.10°, β = 102.10°, γ = 25.11°
Element x y z (fractional)
Sc  0.838  0.838  0.418
Sc  0.162  0.162  0.582
Sn  0.871  0.871  0.929
Sn  0.129  0.129  0.071
Se  0.500  0.500  0.000
Se  0.000  0.000  0.500
Se  0.677  0.677  0.357
Se  0.679  0.679  0.819
Se  0.323  0.323  0.643
Se  0.321  0.321  0.181
Cu  0.540  0.540  0.705
Cu  0.460  0.460  0.295

=====

Record 3
ScTlCuSe3 after structural relaxation, computed with PBE-GGA.

## Properties
Raw total energy: -4.677 eV per atom

a = 8.286 Å, b = 3.868 Å, c = 10.155 Å
α = 90.00°, β = 112.50°, γ = 90.00°
Element x y z (fractional)
Se  0.265  0.250  0.942
Se  0.421  0.750  0.661
Se  0.579  0.250  0.339
Se  0.951  0.750  0.636
Se  0.735  0.750  0.058
Se  0.049  0.250  0.364
Sc  0.190  0.250  0.651
Sc  0.810  0.750  0.349
Tl  0.763  0.250  0.784
Tl  0.237  0.750  0.216
Cu  0.579  0.250  0.099
Cu  0.421  0.750  0.901

=====

Record 4
ScTlCuSe3 after structural relaxation, computed with PBE-GGA.

## Properties
Raw total energy: -4.682 eV per atom

a = 14.932 Å, b = 3.870 Å, c = 10.355 Å
α = 90.00°, β = 90.00°, γ = 90.00°
Element x y z (fractional)
Se  0.596  0.250  0.927
Se  0.096  0.250  0.573
Se  0.871  0.250  0.746
Se  0.371  0.250  0.754
Se  0.904  0.750  0.427
Se  0.412  0.250  0.382
Se  0.129  0.750  0.254
Se  0.088  0.750  0.882
Se  0.588  0.750  0.618
Se  0.912  0.250  0.118
Se  0.629  0.750  0.246
Se  0.404  0.750  0.073
Sc  0.983  0.750  0.662
Sc  0.483  0.750  0.838
Sc  0.017  0.250  0.338
Sc  0.517  0.250  0.162
Cu  0.990  0.250  0.908
Cu  0.490  0.250  0.592
Cu  0.510  0.750  0.408
Cu  0.010  0.750  0.092
Tl  0.235  0.250  0.045
Tl  0.735  0.250  0.455
Tl  0.765  0.750  0.955
Tl  0.265  0.750  0.545

=====

Record 5
TmScCuSe3 after structural relaxation, computed with PBE-GGA.

## Properties
Raw total energy: -5.450 eV per atom

a = 6.751 Å, b = 6.751 Å, c = 10.046 Å
α = 90.00°, β = 90.00°, γ = 147.22°
Element x y z (fractional)
Tm  0.774  0.226  0.750
Tm  0.226  0.774  0.250
Se  0.644  0.356  0.066
Se  0.356  0.644  0.934
Se  0.356  0.644  0.566
Se  0.101  0.899  0.750
Se  0.899  0.101  0.250
Se  0.644  0.356  0.434
Cu  0.521  0.479  0.250
Cu  0.479  0.521  0.750
Sc  0.000  0.000  0.000
Sc  0.000  0.000  0.500

=====

Record 6
TmScCuSe3 after structural relaxation, computed with PBE-GGA.

## Properties
Raw total energy: -5.451 eV per atom

a = 10.054 Å, b = 3.805 Å, c = 12.978 Å
α = 90.00°, β = 90.00°, γ = 90.00°
Element x y z (fractional)
Se  0.958  0.250  0.609
Se  0.268  0.750  0.652
Se  0.232  0.250  0.152
Se  0.732  0.250  0.348
Se  0.090  0.250  0.899
Se  0.768  0.750  0.848
Se  0.542  0.750  0.109
Se  0.910  0.750  0.101
Se  0.042  0.750  0.391
Se  0.590  0.250  0.601
Se  0.410  0.750  0.399
Se  0.458  0.250  0.891
Cu  0.234  0.750  0.273
Cu  0.766  0.250  0.727
Cu  0.266  0.250  0.773
Cu  0.734  0.750  0.227
Tm  0.722  0.250  0.019
Tm  0.778  0.750  0.519
Tm  0.278  0.750  0.981
Tm  0.222  0.250  0.481
Sc  0.479  0.250  0.255
Sc  0.521  0.750  0.745
Sc  0.979  0.250  0.245
Sc  0.021  0.750  0.755

=====

Record 7
YScCuSe3 after structural relaxation, computed with PBE-GGA.

## Properties
Raw total energy: -5.818 eV per atom

a = 6.794 Å, b = 6.794 Å, c = 10.069 Å
α = 90.00°, β = 90.00°, γ = 147.13°
Element x y z (fractional)
Y  0.772  0.228  0.250
Y  0.228  0.772  0.750
Se  0.904  0.096  0.750
Se  0.643  0.357  0.936
Se  0.357  0.643  0.064
Se  0.096  0.904  0.250
Se  0.357  0.643  0.436
Se  0.643  0.357  0.564
Cu  0.477  0.523  0.250
Cu  0.523  0.477  0.750
Sc  0.000  0.000  0.500
Sc  0.000  0.000  0.000

=====

Record 8
YScCuSe3 after structural relaxation, computed with PBE-GGA.

## Properties
Raw total energy: -5.819 eV per atom

a = 10.081 Å, b = 3.844 Å, c = 13.015 Å
α = 90.00°, β = 90.00°, γ = 90.00°
Element x y z (fractional)
Se  0.731  0.250  0.347
Se  0.913  0.750  0.105
Se  0.042  0.750  0.390
Se  0.269  0.750  0.653
Se  0.458  0.250  0.890
Se  0.542  0.750  0.110
Se  0.587  0.250  0.605
Se  0.769  0.750  0.847
Se  0.231  0.250  0.153
Se  0.958  0.250  0.610
Se  0.413  0.750  0.395
Se  0.087  0.250  0.895
Cu  0.734  0.750  0.228
Cu  0.766  0.250  0.728
Cu  0.234  0.750  0.272
Cu  0.266  0.250  0.772
Y  0.725  0.250  0.019
Y  0.775  0.750  0.519
Y  0.225  0.250  0.481
Y  0.275  0.750  0.981
Sc  0.021  0.750  0.753
Sc  0.979  0.250  0.247
Sc  0.479  0.250  0.253
Sc  0.521  0.750  0.747

=====

Record 9
ScCu5Si2 after structural relaxation, computed with PBE-GGA.

## Properties
Raw total energy: -4.622 eV per atom

a = 4.078 Å, b = 4.078 Å, c = 6.298 Å
α = 90.00°, β = 90.00°, γ = 90.00°
Element x y z (fractional)
Cu  0.000  0.500  0.777
Cu  0.500  0.000  0.223
Cu  0.000  0.500  0.223
Cu  0.500  0.000  0.777
Cu  0.500  0.500  0.000
Si  0.500  0.500  0.500
Si  0.000  0.000  0.000
Sc  0.000  0.000  0.500

=====

Record 10
ScCu5Si2 after structural relaxation, computed with PBE-GGA.

## Properties
Raw total energy: -4.622 eV per atom

a = 4.078 Å, b = 4.078 Å, c = 6.298 Å
α = 90.00°, β = 90.00°, γ = 90.00°
Element x y z (fractional)
Si  0.000  0.000  0.000
Si  0.500  0.500  0.500
Cu  0.500  0.000  0.723
Cu  0.000  0.500  0.277
Cu  0.000  0.500  0.723
Cu  0.500  0.000  0.277
Cu  0.000  0.000  0.500
Sc  0.500  0.500  0.000

=====

Record 11
ScCuSi after structural relaxation, computed with PBE-GGA.

## Properties
Raw total energy: -5.815 eV per atom

a = 6.538 Å, b = 3.930 Å, c = 7.275 Å
α = 90.00°, β = 90.00°, γ = 90.00°
Element x y z (fractional)
Si  0.269  0.500  0.614
Si  0.231  0.000  0.114
Si  0.769  0.500  0.886
Si  0.731  0.000  0.386
Sc  0.486  0.000  0.810
Sc  0.986  0.000  0.690
Sc  0.014  0.500  0.310
Sc  0.514  0.500  0.190
Cu  0.652  0.500  0.563
Cu  0.848  0.000  0.063
Cu  0.152  0.500  0.937
Cu  0.348  0.000  0.437

=====

Record 12
ScCuSi2 after structural relaxation, computed with PBE-GGA.

## Properties
Raw total energy: -5.201 eV per atom

a = 4.429 Å, b = 4.429 Å, c = 4.429 Å
α = 60.00°, β = 60.00°, γ = 60.00°
Element x y z (fractional)
Si  0.750  0.750  0.750
Si  0.500  0.500  0.500
Sc  0.000  0.000  0.000
Cu  0.250  0.250  0.250

=====

Record 13
ScCuSi after structural relaxation, computed with PBE-GGA.

## Properties
Raw total energy: -5.652 eV per atom

a = 6.460 Å, b = 6.460 Å, c = 3.875 Å
α = 90.00°, β = 90.00°, γ = 120.00°
Element x y z (fractional)
Cu  0.000  0.000  0.500
Cu  0.667  0.333  0.000
Cu  0.333  0.667  0.000
Sc  0.410  0.410  0.500
Sc  0.000  0.590  0.500
Sc  0.590  0.000  0.500
Si  0.743  0.743  0.000
Si  0.257  0.000  0.000
Si  0.000  0.257  0.000

=====

Record 14
Sc2Cu2SiSn after structural relaxation, computed with PBE-GGA.

## Properties
Raw total energy: -5.434 eV per atom

a = 10.477 Å, b = 4.277 Å, c = 10.479 Å
α = 90.00°, β = 109.47°, γ = 90.00°
Element x y z (fractional)
Cu  0.131  0.500  0.372
Cu  0.875  0.500  0.626
Cu  0.488  0.000  0.490
Cu  0.002  0.000  0.010
Cu  0.252  0.000  0.740
Cu  0.741  0.000  0.238
Cu  0.636  0.500  0.886
Cu  0.373  0.500  0.132
Sc  0.505  0.000  0.752
Sc  0.880  0.500  0.888
Sc  0.129  0.500  0.617
Sc  0.741  0.000  0.491
Sc  0.004  0.000  0.251
Sc  0.371  0.500  0.371
Sc  0.620  0.500  0.125
Sc  0.250  0.000  0.009
Sn  0.001  0.000  0.751
Sn  0.375  0.500  0.875
Sn  0.625  0.500  0.625
Sn  0.874  0.500  0.372
Si  0.752  0.000  0.003
Si  0.497  0.000  0.249
Si  0.251  0.000  0.498
Si  0.127  0.500  0.129

=====

Record 15
TbSc2Cu4Si4 after structural relaxation, computed with PBE-GGA.

## Properties
Raw total energy: -5.531 eV per atom

a = 7.627 Å, b = 7.627 Å, c = 7.627 Å
α = 149.89°, β = 129.27°, γ = 60.13°
Element x y z (fractional)
Si  0.221  0.221  0.000
Si  0.779  0.779  0.000
Si  0.681  0.500  0.181
Si  0.319  0.500  0.819
Cu  0.978  0.672  0.306
Cu  0.634  0.328  0.306
Cu  0.366  0.672  0.694
Cu  0.022  0.328  0.694
Sc  0.374  0.874  0.500
Sc  0.626  0.126  0.500
Tb  0.000  0.000  0.000

=====

Record 16
TmSc2Cu4Si4 after structural relaxation, computed with PBE-GGA.

## Properties
Raw total energy: -5.514 eV per atom

a = 7.597 Å, b = 7.597 Å, c = 7.597 Å
α = 149.83°, β = 129.32°, γ = 60.12°
Element x y z (fractional)
Si  0.220  0.220  0.000
Si  0.318  0.500  0.818
Si  0.780  0.780  0.000
Si  0.682  0.500  0.182
Cu  0.635  0.329  0.306
Cu  0.365  0.671  0.694
Cu  0.978  0.671  0.306
Cu  0.022  0.329  0.694
Tm  0.000  0.000  0.000
Sc  0.626  0.126  0.500
Sc  0.374  0.874  0.500

=====

Record 17
ScCuSiW after structural relaxation, computed with PBE-GGA.

## Properties
ΔE to the lowest computed polymorph: 0 kJ/mol of formula units

a = 4.406 Å, b = 4.406 Å, c = 4.406 Å
α = 60.00°, β = 60.00°, γ = 60.00°
Element x y z (fractional)
Si  0.000  0.000  0.000
W  0.250  0.250  0.250
Sc  0.500  0.500  0.500
Cu  0.750  0.750  0.750

=====

Record 18
YScCu2Si2 after structural relaxation, computed with PBE-GGA.

## Properties
Raw total energy: -5.681 eV per atom

a = 8.504 Å, b = 4.233 Å, c = 12.712 Å
α = 90.00°, β = 109.28°, γ = 90.00°
Element x y z (fractional)
Y  0.811  0.500  0.126
Y  0.934  0.000  0.871
Y  0.060  0.500  0.623
Y  0.315  0.500  0.128
Sc  0.188  0.000  0.377
Sc  0.560  0.500  0.623
Sc  0.687  0.000  0.376
Sc  0.440  0.000  0.874
Cu  0.256  0.500  0.497
Cu  0.496  0.500  0.992
Cu  0.614  0.000  0.744
Cu  0.740  0.500  0.496
Cu  0.002  0.500  0.001
Cu  0.881  0.000  0.260
Cu  0.380  0.000  0.261
Cu  0.140  0.000  0.754
Si  0.317  0.000  0.622
Si  0.065  0.000  0.130
Si  0.677  0.500  0.869
Si  0.440  0.500  0.379
Si  0.938  0.500  0.376
Si  0.801  0.000  0.620
Si  0.563  0.000  0.126
Si  0.194  0.500  0.874

=====

Record 19
Y2ScCu4Si4 after structural relaxation, computed with PBE-GGA.

## Properties
Raw total energy: -5.687 eV per atom

a = 7.764 Å, b = 7.764 Å, c = 7.764 Å
α = 149.34°, β = 131.12°, γ = 58.81°
Element x y z (fractional)
Cu  0.978  0.669  0.309
Cu  0.640  0.331  0.309
Cu  0.360  0.669  0.691
Cu  0.022  0.331  0.691
Si  0.308  0.500  0.808
Si  0.692  0.500  0.192
Si  0.213  0.213  0.000
Si  0.787  0.787  0.000
Y  0.629  0.129  0.500
Y  0.371  0.871  0.500
Sc  0.000  0.000  0.000

=====

Record 20
YScCuSi after structural relaxation, computed with PBE-GGA.

## Properties
ΔE to the lowest computed polymorph: 0 kJ/mol of formula units

a = 4.733 Å, b = 4.733 Å, c = 4.733 Å
α = 60.00°, β = 60.00°, γ = 60.00°
Element x y z (fractional)
Y  0.500  0.500  0.500
Sc  0.250  0.250  0.250
Cu  0.750  0.750  0.750
Si  0.000  0.000  0.000